# 1
Computed, not measured: a relaxed structure of Tm2AlInFe4 at the PBE level of DFT.

a = 3.964 Å, b = 4.941 Å, c = 6.946 Å
α = 90.00°, β = 90.00°, γ = 90.00°
Last column: magnetic moment on the atom in μB.
Sites, in units of the cell vectors:
In (0.000, 0.500, 0.145)  -0.05
Tm (0.500, 0.000, 0.198)  -0.17
Tm (0.500, 0.500, 0.798)  -0.21
Fe (0.000, 0.251, 0.506)  1.98
Fe (0.000, 0.749, 0.506)  1.98
Al (0.000, 0.000, 0.833)  -0.03
Fe (0.500, 0.000, 0.597)  1.94
Fe (0.500, 0.500, 0.416)  1.89

VASP energy in eV per cell: -50.8

***

# 2
Computed, not measured: a relaxed structure of SiAu at the PBE level of DFT.

a = 3.983 Å, b = 3.983 Å, c = 3.983 Å
α = 60.00°, β = 60.00°, γ = 60.00°
Sites, in units of the cell vectors:
Au (0.000, 0.000, 0.000)
Si (0.250, 0.250, 0.250)

VASP energy in eV per cell: -8.2

***

# 3
Computed, not measured: a relaxed structure of Sr2Os at the PBE level of DFT.

a = 8.665 Å, b = 8.665 Å, c = 8.665 Å
α = 60.00°, β = 60.00°, γ = 60.00°
Sites, in units of the cell vectors:
Sr (0.375, 0.375, 0.375)
Sr (0.375, 0.375, 0.875)
Sr (0.375, 0.875, 0.375)
Sr (0.875, 0.375, 0.375)
Os (0.250, 0.250, 0.250)
Os (0.500, 0.500, 0.500)

VASP energy in eV per cell: -20.7

***

# 4
Computed, not measured: a relaxed structure of Gd2FeSi2WC at the PBE level of DFT.

a = 5.786 Å, b = 5.786 Å, c = 7.055 Å
α = 124.75°, β = 124.75°, γ = 38.89°
Last column: magnetic moment on the atom in μB.
Sites, in units of the cell vectors:
Fe (0.205, 0.205, 0.084)  0.62
Si (0.846, 0.846, 0.308)  0.00
Gd (0.572, 0.572, 0.300)  0.00
Gd (0.431, 0.431, 0.704)  0.00
W (0.801, 0.801, 0.918)  0.04
Si (0.133, 0.133, 0.679)  0.00
C (0.011, 0.011, 0.007)  -0.02

VASP energy in eV per cell: -54.4

***

# 5
Computed, not measured: a relaxed structure of AcTmGe at the PBE level of DFT.

a = 5.131 Å, b = 5.131 Å, c = 5.131 Å
α = 60.00°, β = 60.00°, γ = 60.00°
Sites, in units of the cell vectors:
Ge (0.750, 0.750, 0.750)
Tm (0.000, 0.000, 0.000)
Ac (0.250, 0.250, 0.250)

Relative energy among the computed polymorphs in meV per atom: 0

***

# 6
Computed, not measured: a relaxed structure of LuBeTlCo at the PBE level of DFT.

a = 4.544 Å, b = 4.544 Å, c = 4.544 Å
α = 60.00°, β = 60.00°, γ = 60.00°
Last column: magnetic moment on the atom in μB.
Sites, in units of the cell vectors:
Tl (0.000, 0.000, 0.000)  0.00
Lu (0.500, 0.500, 0.500)  -0.01
Co (0.750, 0.750, 0.750)  0.06
Be (0.250, 0.250, 0.250)  0.00

Relative energy among the computed polymorphs in meV per atom: 0

***

# 7
Computed, not measured: a relaxed structure of DyMgAuO3 at the PBE level of DFT.

a = 3.346 Å, b = 6.646 Å, c = 7.742 Å
α = 106.68°, β = 90.00°, γ = 104.58°
Sites, in units of the cell vectors:
O (0.164, 0.328, 0.652)
O (0.842, 0.684, 0.974)
O (0.493, 0.986, 0.710)
Au (0.325, 0.650, 0.667)
O (0.154, 0.307, 0.986)
O (0.835, 0.670, 0.303)
Dy (0.988, 0.977, 0.524)
O (0.511, 0.021, 0.282)
Mg (0.309, 0.619, 0.132)
Au (0.687, 0.374, 0.353)
Dy (0.015, 0.031, 0.082)
Mg (0.676, 0.352, 0.836)

VASP energy in eV per cell: -73.7

***

# 8
Computed, not measured: a relaxed structure of ZnSn2B at the PBE level of DFT.

a = 4.864 Å, b = 4.864 Å, c = 4.864 Å
α = 60.00°, β = 60.00°, γ = 60.00°
Sites, in units of the cell vectors:
Sn (0.750, 0.750, 0.750)
Sn (0.000, 0.000, 0.000)
Zn (0.250, 0.250, 0.250)
B (0.500, 0.500, 0.500)

VASP energy in eV per cell: -12.0

***

# 9
Computed, not measured: a relaxed structure of Sr2PaO4 at the PBE level of DFT.

a = 7.124 Å, b = 7.124 Å, c = 7.124 Å
α = 120.00°, β = 90.01°, γ = 120.00°
Last column: magnetic moment on the atom in μB.
Sites, in units of the cell vectors:
Sr (0.375, 0.750, 0.125)  0.00
O (0.125, 0.250, 0.875)  -0.01
Pa (0.750, 0.500, 0.250)  0.88
O (0.624, 0.750, 0.875)  -0.01
O (0.625, 0.250, 0.874)  -0.01
Sr (0.375, 0.750, 0.625)  0.00
O (0.625, 0.250, 0.375)  -0.01
O (0.125, 0.250, 0.376)  -0.01
Sr (0.875, 0.250, 0.625)  0.00
O (0.625, 0.750, 0.375)  -0.01
O (0.125, 0.750, 0.875)  -0.01
Sr (0.375, 0.250, 0.625)  0.00
O (0.126, 0.750, 0.375)  -0.01
Pa (0.000, 0.000, 0.000)  0.88

Relative energy among the computed polymorphs in meV per atom: 135

***

# 10
Computed, not measured: a relaxed structure of LiMg2Pd at the PBE level of DFT.

a = 4.278 Å, b = 4.278 Å, c = 9.584 Å
α = 90.00°, β = 90.00°, γ = 120.00°
Sites, in units of the cell vectors:
Mg (0.667, 0.333, 0.903)
Li (0.667, 0.333, 0.250)
Pd (0.000, 0.000, 0.250)
Mg (0.333, 0.667, 0.097)
Mg (0.333, 0.667, 0.403)
Mg (0.667, 0.333, 0.597)
Li (0.333, 0.667, 0.750)
Pd (0.000, 0.000, 0.750)

Relative energy among the computed polymorphs in meV per atom: 282

***

# 11
Computed, not measured: a relaxed structure of Y2TcAu at the PBE level of DFT.

a = 4.895 Å, b = 4.895 Å, c = 4.895 Å
α = 60.00°, β = 60.00°, γ = 60.00°
Sites, in units of the cell vectors:
Au (0.000, 0.000, 0.000)
Tc (0.250, 0.250, 0.250)
Y (0.750, 0.750, 0.750)
Y (0.500, 0.500, 0.500)

Energy of formation in eV per formula unit: 0.26

***

# 12
Computed, not measured: a relaxed structure of Gd2Tm2Al3 at the PBE level of DFT.

a = 6.381 Å, b = 6.381 Å, c = 6.632 Å
α = 110.47°, β = 110.47°, γ = 45.98°
Sites, in units of the cell vectors:
Tm (0.186, 0.186, 0.303)
Al (0.218, 0.218, 0.837)
Tm (0.814, 0.814, 0.697)
Al (0.782, 0.782, 0.163)
Gd (0.540, 0.540, 0.778)
Gd (0.460, 0.460, 0.222)
Al (0.000, 0.000, 0.500)

VASP energy in eV per cell: -30.7